Entry from the Alexandria database: crystalline Nd4CoPtCl2 at its relaxed geometry (PBE-GGA).

The space group is P2/m (No. 10) and the conventional cell measures 7.149, 4.077 and 7.856 Å, with angles of 90.00, 107.84 and 90.00 degrees. The distinct sites, in fractional coordinates, are Nd at (0.224, 0.000, 0.202), Nd at (0.246, 0.500, 0.796), Co at (0.000, 0.500, 0.000), Pt at (0.500, 0.000, 0.000), Cl at (0.000, 0.000, 0.500) and Cl at (0.500, 0.500, 0.500).

Its total magnetization is 0.0 μB per cell. The calculation puts the mass density at 6.9 g cm⁻³. For the energy, the calculation gives -5.572 eV per atom.